Entry 1:
Below is crystalline La2P3Au6 at its relaxed geometry, with properties calculated at the GGA-PBE level.

a = 4.3104 Å, b = 7.7893 Å, c = 7.7893 Å
α = 120.00°, β = 90.00°, γ = 90.00°
Last column: nearest neighbours and their distance in Å.
Atoms (fractional coordinates):
1 La 0.0000 0.3333 0.6667  9 Au 3.19-3.40, 6 P 3.29
2 La 0.0000 0.6667 0.3333  9 Au 3.19-3.40, 6 P 3.29
3 P 0.5000 0.6378 0.0000  5 Au 2.44-2.68
4 P 0.5000 0.0000 0.6378  5 Au 2.44-2.68
5 P 0.5000 0.3622 0.3622  5 Au 2.44-2.68
6 Au 0.0000 0.7912 0.0000  2 P 2.46
7 Au 0.0000 0.2088 0.2088  2 P 2.46
8 Au 0.5000 0.6761 0.6761  3 P 2.44-2.68
9 Au 0.5000 0.0000 0.3239  3 P 2.44-2.68
10 Au 0.0000 0.0000 0.7912  2 P 2.46
11 Au 0.5000 0.3239 0.0000  3 P 2.44-2.68

Calculated values
D(E_F) ... 5.78 states/eV per cell



Entry 2:
Below is crystalline LaP2Au at its relaxed geometry, with properties calculated at the GGA-PBE level.

a = 4.5542 Å, b = 4.5542 Å, c = 3.9417 Å
α = 90.01°, β = 90.01°, γ = 90.01°
Last column: nearest neighbours and their distance in Å.
Atoms (fractional coordinates):
1 P 0.0000 0.0000 0.0000  4 La 3.01, 4 Au 3.01, 4 P 3.22
2 P 0.5000 0.5000 0.0000  4 Au 3.01, 4 La 3.01, 4 P 3.22
3 La 0.0000 0.5000 0.5000  8 P 3.01, 4 Au 3.22
4 Au 0.5000 0.0000 0.5000  8 P 3.01, 4 La 3.22

Calculated values
D(E_F) ... 3.41 states/eV per cell



Entry 3:
Below is crystalline La2PAu at its relaxed geometry, with properties calculated at the GGA-PBE level.

a = 4.3303 Å, b = 4.3303 Å, c = 6.2059 Å
α = 90.00°, β = 90.00°, γ = 90.04°
Last column: nearest neighbours and their distance in Å.
Atoms (fractional coordinates):
1 Au 0.5000 0.5000 0.8749  6 La 3.06-3.10
2 La 0.5000 0.5000 0.3750  4 P 3.06, 2 Au 3.10
3 La 0.0000 0.0000 0.8752  4 Au 3.06, 2 P 3.10
4 P 0.0000 0.0000 0.3749  6 La 3.06-3.10

Calculated values
D(E_F) ... 6.24 states/eV per cell



Entry 4:
Below is crystalline La2PAu at its relaxed geometry, with properties calculated at the GGA-PBE level.

a = 4.1822 Å, b = 4.1822 Å, c = 7.9590 Å
α = 74.77°, β = 74.77°, γ = 60.00°
Last column: nearest neighbours and their distance in Å.
Atoms (fractional coordinates):
1 P 0.6664 0.6664 0.0008  6 La 2.95-2.96
2 Au 0.4998 0.4998 0.5007  6 La 3.18-3.20
3 La 0.2586 0.2586 0.2242  3 P 2.95, 3 Au 3.20
4 La 0.0752 0.0752 0.7743  3 P 2.96, 3 Au 3.18

Calculated values
D(E_F) ... 2.86 states/eV per cell



Number 1: DFT formation energy -5.93 eV/f.u.. Number 2: DFT formation energy -2.01 eV/f.u.. Number 3: DFT formation energy -4.16 eV/f.u.. Number 4: DFT formation energy -4.47 eV/f.u..